No. 1
Material: K2LaAuO4
Method: DFT, PBE
State: optimized geometry

abc: 5.745 5.745 5.745
angles: 112.62 112.62 103.34
Atoms (fractional coordinates):
K (0.000, 0.000, 0.000)
K (0.750, 0.250, 0.500)
La (0.250, 0.750, 0.500)
Au (0.500, 0.500, 0.000)
O (0.264, 0.701, 0.891)
O (0.299, 0.190, 0.563)
O (0.627, 0.736, 0.437)
O (0.810, 0.373, 0.109)

Output
Electronic total energy = -5.4104 eV per atom
Formation energy from raw total energies = -1.63 eV/atom
Total magnetization = 0.0 μB/cell

---

No. 2
Material: K2LaPAu
Method: DFT, PBE
State: optimized geometry

abc: 6.016 6.016 5.615
angles: 90.00 90.00 90.00
Atoms (fractional coordinates):
K (0.000, 0.500, 0.000)
K (0.500, 0.000, 0.000)
La (0.000, 0.000, 0.500)
P (0.000, 0.000, 0.000)
Au (0.500, 0.500, 0.500)

Output
Electronic total energy = -3.3829 eV per atom
Formation energy from the elements = -0.22 eV/atom
Total magnetization = 0.0 μB/cell

---

No. 3
Material: KLaPdAu2
Method: DFT, PBE
State: optimized geometry

abc: 5.390 5.390 5.022
angles: 90.00 90.00 90.00
Atoms (fractional coordinates):
K (0.000, 0.000, 0.000)
La (0.500, 0.500, 0.500)
Pd (0.000, 0.000, 0.500)
Au (0.000, 0.500, 0.000)
Au (0.500, 0.000, 0.000)

Output
Electronic total energy = -3.0719 eV per atom
Formation energy from the elements = 0.48 eV/atom
Total magnetization = 0.0 μB/cell

---

No. 4
Material: KLa2RuAu
Method: DFT, PBE
State: optimized geometry

abc: 5.795 5.795 5.152
angles: 90.00 90.00 90.00
Atoms (fractional coordinates):
K (0.000, 0.000, 0.000)
La (0.000, 0.500, 0.500)
La (0.500, 0.000, 0.500)
Ru (0.500, 0.500, 0.000)
Au (0.500, 0.500, 0.500)

Output
Electronic total energy = -4.2243 eV per atom
Formation energy from the elements = 0.48 eV/atom
Total magnetization = 0.2 μB/cell

---

No. 5
Material: KLaAuS2
Method: DFT, PBE
State: optimized geometry

abc: 7.298 5.120 8.236
angles: 90.00 100.25 90.00
Atoms (fractional coordinates):
K (0.000, 0.135, 0.250)
K (0.000, 0.865, 0.750)
La (0.500, 0.488, 0.750)
La (0.500, 0.512, 0.250)
Au (0.500, 0.000, 0.000)
Au (0.500, 0.000, 0.500)
S (0.252, 0.323, 0.965)
S (0.252, 0.677, 0.465)
S (0.748, 0.323, 0.535)
S (0.748, 0.677, 0.035)

Output
Electronic total energy = -4.6888 eV per atom
Formation energy from raw total energies = -1.18 eV/atom
Total magnetization = 0.0 μB/cell

---

No. 6
Material: KLaSb2Au2
Method: DFT, PBE
State: optimized geometry

abc: 4.738 4.738 9.263
angles: 90.00 90.00 120.00
Atoms (fractional coordinates):
K (0.000, 0.000, 0.000)
La (0.000, 0.000, 0.500)
Sb (0.333, 0.667, 0.724)
Sb (0.667, 0.333, 0.276)
Au (0.333, 0.667, 0.292)
Au (0.667, 0.333, 0.708)

Output
Electronic total energy = -4.2358 eV per atom
Formation energy from raw total energies = -0.77 eV/atom
Total magnetization = 0.0 μB/cell

---

No. 7
Material: KLaSbAu
Method: DFT, PBE
State: optimized geometry

abc: 5.533 5.533 5.533
angles: 60.00 60.00 60.00
Atoms (fractional coordinates):
K (0.000, 0.000, 0.000)
La (0.500, 0.500, 0.500)
Sb (0.250, 0.250, 0.250)
Au (0.750, 0.750, 0.750)

Output
Electronic total energy = -4.0186 eV per atom
Formation energy from raw total energies = -0.66 eV/atom
Total magnetization = 0.0 μB/cell

---

No. 8
Material: KLa2AuSe4
Method: DFT, PBE
State: optimized geometry

abc: 7.645 7.645 15.046
angles: 90.00 90.00 146.90
Atoms (fractional coordinates):
K (0.120, 0.880, 0.750)
K (0.880, 0.120, 0.250)
La (0.367, 0.633, 0.567)
La (0.367, 0.633, 0.933)
La (0.633, 0.367, 0.067)
La (0.633, 0.367, 0.433)
Au (0.153, 0.847, 0.250)
Au (0.847, 0.153, 0.750)
Se (0.000, 0.000, 0.000)
Se (0.000, 0.000, 0.500)
Se (0.266, 0.734, 0.110)
Se (0.266, 0.734, 0.390)
Se (0.449, 0.551, 0.750)
Se (0.551, 0.449, 0.250)
Se (0.734, 0.266, 0.610)
Se (0.734, 0.266, 0.890)

Output
Electronic total energy = -5.0764 eV per atom
Formation energy from raw total energies = -1.56 eV/atom
Total magnetization = 0.0 μB/cell

---

- What is the formula in the fourth record?
  KLa2RuAu

---

- Which value of total magnetization does entry 4 give?
  0.2 μB/cell